1.
The following is a DFT calculation (GGA-PBE) of crystalline Ac4AuO7 at its relaxed geometry.

Computed properties:
As for the raw formation energy: -2.81 eV/atom. Its total energy is -88.18 eV/f.u.

Cell: 13.7175 4.3784 9.6329 Å, 90.00 132.64 90.00°
Space group C2/m (No. 12)
Unique sites:
Ac  0.0848  0.0000  0.3874 (multiplicity 4)
Ac  0.2496  0.0000  0.1598 (multiplicity 4)
Au  0.0000  0.5000  0.0000 (multiplicity 2)
O  0.0000  0.0000  0.0000 (multiplicity 2)
O  0.0895  0.5000  0.8896 (multiplicity 4)
O  0.1350  0.0000  0.6956 (multiplicity 4)
O  0.1995  0.5000  0.5484 (multiplicity 4)



2.
The following is a DFT calculation (GGA-PBE) of crystalline HfAl2Rh2 at its relaxed geometry.

Computed properties:
For the energy of formation, the calculation gives -0.8145 eV/atom. Its excess energy over the best structure of this formula in the dataset is 0.000 kcal/mol of atoms. Its total energy is -36.21 eV/f.u.

Cell: 7.4035 7.4035 2.8319 Å, 90.00 90.00 90.00°
Space group P4/mbm (No. 127)
Unique sites:
Hf  0.0000  0.0000  0.0000 (multiplicity 2)
Al  0.1249  0.3751  0.0000 (multiplicity 4)
Rh  0.1720  0.6720  0.5000 (multiplicity 4)